(1)
Density functional theory data (PBE) for crystalline ZrAl2Si at its relaxed geometry.

The structure in extended XYZ format:
```
4
Lattice="-2.180 0.771 -1.977 -0.445 -2.308 1.931 -3.672 6.078 6.419" Properties=species:S:1:pos:R:3 pbc="T T T"
Al -2.597 4.298 4.539
Al -1.076 1.780 1.880
Zr 0.000 0.000 0.000
Si -3.438 2.783 2.535
```

E_form (uncorrected) in eV/f.u.: 1.3
Symmetry: P-6m2 (187)

(2)
Density functional theory data (PBE) for crystalline ZrAl2Si5 at its relaxed geometry.

The structure in extended XYZ format:
```
8
Lattice="-1.472 4.023 5.410 1.472 -4.023 5.410 1.472 4.023 -5.410" Properties=species:S:1:pos:R:3 pbc="T T T"
Si 0.000 1.835 4.163
Si 1.472 2.188 1.247
Si 0.000 4.023 0.000
Si 0.000 1.835 6.657
Si 1.472 2.188 -1.247
Zr 0.000 0.000 0.000
Al 0.000 4.023 2.679
Al 1.472 0.000 2.731
```

E_form (uncorrected) in eV/f.u.: 0.9
Symmetry: Immm (71)
Relative energy among the computed polymorphs in eV/atom: 0.1086

(3)
Density functional theory data (PBE) for crystalline Zr2Al2Si at its relaxed geometry.

The structure in extended XYZ format:
```
5
Lattice="0.849 4.334 0.204 -3.481 -1.464 -2.298 -3.594 0.461 5.150" Properties=species:S:1:pos:R:3 pbc="T T T"
Zr -3.684 2.797 3.798
Zr -2.541 0.533 -0.742
Al -4.193 0.745 1.626
Al -2.032 2.585 1.431
Si 0.000 0.000 0.000
```

E_form (uncorrected) in eV/f.u.: -0.7
Symmetry: P-3m1 (164)
Relative energy among the computed polymorphs in eV/atom: 0.4062

(4)
Density functional theory data (PBE) for crystalline Zr4AlSi at its relaxed geometry.

The structure in extended XYZ format:
```
12
Lattice="-4.039 3.545 0.765 -2.637 -1.732 -5.896 -3.606 -4.758 3.011" Properties=species:S:1:pos:R:3 pbc="T T T"
Zr -2.765 -3.367 1.003
Zr -4.736 -5.115 -1.300
Zr -3.478 -3.124 -3.888
Zr -1.507 -1.375 -1.585
Zr -6.571 -2.768 -2.609
Zr -4.312 -0.118 -2.958
Zr -5.970 -2.827 0.838
Zr -3.711 -0.177 0.489
Si -6.151 -0.586 -0.869
Si -4.131 -2.359 -1.251
Al -1.010 0.886 0.191
Al -3.029 2.659 0.574
```

E_form (uncorrected) in eV/f.u.: -3.3
Symmetry: P4/mcc (124)
Relative energy among the computed polymorphs in eV/atom: 0.0000

(5)
Density functional theory data (PBE) for crystalline Zr4AlSi at its relaxed geometry.

The structure in extended XYZ format:
```
6
Lattice="0.000 4.014 4.014 4.014 0.000 4.014 4.014 4.014 0.000" Properties=species:S:1:pos:R:3 pbc="T T T"
Al 6.021 6.021 6.021
Zr 5.014 5.014 3.015
Zr 5.014 3.015 5.014
Zr 3.015 3.015 3.015
Zr 3.015 5.014 5.014
Si 0.000 0.000 0.000
```

E_form (uncorrected) in eV/f.u.: 2.1
Symmetry: F-43m (216)
Relative energy among the computed polymorphs in eV/atom: 0.8921

(6)
Density functional theory data (PBE) for crystalline ZrAl2Si at its relaxed geometry.

The structure in extended XYZ format:
```
4
Lattice="-0.614 -2.643 -2.380 3.387 0.972 0.783 0.151 -4.690 5.170" Properties=species:S:1:pos:R:3 pbc="T T T"
Si 2.128 -2.578 2.314
Al 0.764 -2.836 0.216
Al 0.825 -4.730 2.303
Zr 0.000 0.000 0.000
```

E_form (uncorrected) in eV/f.u.: 0.7
Symmetry: P-6m2 (187)

(7)
Density functional theory data (PBE) for crystalline Zr3Al3Si2 at its relaxed geometry.

The structure in extended XYZ format:
```
16
Lattice="8.840 -0.112 0.150 2.207 7.556 -0.100 3.101 1.128 4.312" Properties=species:S:1:pos:R:3 pbc="T T T"
Zr 2.542 0.153 0.538
Zr 11.606 8.419 3.824
Zr 10.540 5.096 1.201
Zr 3.608 3.476 3.161
Zr 7.241 2.808 1.974
Zr 6.906 5.765 2.388
Al 4.876 4.690 0.733
Al 8.570 0.520 1.169
Al 4.977 1.294 1.533
Al 9.272 3.883 3.629
Al 5.578 8.053 3.193
Al 9.171 7.278 2.829
Si 10.100 2.414 1.737
Si 3.189 2.832 0.093
Si 10.958 5.740 4.269
Si 4.047 6.159 2.625
```

E_form (uncorrected) in eV/f.u.: -4.1
Symmetry: P-1 (2)
Relative energy among the computed polymorphs in eV/atom: 0.1325

(8)
Density functional theory data (PBE) for crystalline Zr3AlSi2 at its relaxed geometry.

The structure in extended XYZ format:
```
6
Lattice="2.064 -6.977 0.000 2.064 6.977 0.000 0.000 0.000 3.851" Properties=species:S:1:pos:R:3 pbc="T T T"
Al 0.000 0.000 0.000
Si 2.064 4.912 1.925
Si 2.064 -4.912 1.925
Zr 2.064 2.375 0.000
Zr 2.064 -2.375 0.000
Zr 2.064 0.000 1.925
```

E_form (uncorrected) in eV/f.u.: -3.3
Symmetry: Cmmm (65)
Relative energy among the computed polymorphs in eV/atom: 0.0000

(9)
Density functional theory data (PBE) for crystalline ZrAl2Si4 at its relaxed geometry.

The structure in extended XYZ format:
```
14
Lattice="-4.056 1.408 -0.308 1.091 -3.116 1.469 1.866 9.450 18.663" Properties=species:S:1:pos:R:3 pbc="T T T"
Al 0.330 3.595 12.105
Al -0.672 7.968 15.222
Al -2.024 1.135 1.769
Al -0.196 0.945 6.913
Si -2.884 -1.372 1.630
Si -1.520 5.497 15.095
Si 0.666 4.994 14.082
Si -1.931 1.910 4.086
Si 0.147 2.566 9.805
Si 0.954 4.907 9.884
Si 0.421 2.246 4.730
Si -0.424 9.343 18.248
Zr 0.727 3.705 7.377
Zr -1.287 6.770 17.843
```

E_form (uncorrected) in eV/f.u.: 0.4
Symmetry: Cmc2_1 (36)
Relative energy among the computed polymorphs in eV/atom: 0.1283

(10)
Density functional theory data (PBE) for crystalline ZrAl6Si at its relaxed geometry.

The structure in extended XYZ format:
```
8
Lattice="-1.096 -0.050 3.634 0.833 -3.698 0.200 10.046 2.429 3.064" Properties=species:S:1:pos:R:3 pbc="T T T"
Al 8.754 0.274 4.628
Al 1.028 -1.594 2.271
Al 6.496 1.678 3.966
Al 3.418 -1.124 1.016
Al 7.461 -0.146 2.249
Al 2.453 0.701 2.733
Si 0.000 0.000 0.000
Zr 5.023 1.214 1.532
```

E_form (uncorrected) in eV/f.u.: 1.2
Symmetry: P4/mmm (123)
Relative energy among the computed polymorphs in eV/atom: 0.1628

Copy entry 9 word for word.
Density functional theory data (PBE) for crystalline ZrAl2Si4 at its relaxed geometry.

The structure in extended XYZ format:
```
14
Lattice="-4.056 1.408 -0.308 1.091 -3.116 1.469 1.866 9.450 18.663" Properties=species:S:1:pos:R:3 pbc="T T T"
Al 0.330 3.595 12.105
Al -0.672 7.968 15.222
Al -2.024 1.135 1.769
Al -0.196 0.945 6.913
Si -2.884 -1.372 1.630
Si -1.520 5.497 15.095
Si 0.666 4.994 14.082
Si -1.931 1.910 4.086
Si 0.147 2.566 9.805
Si 0.954 4.907 9.884
Si 0.421 2.246 4.730
Si -0.424 9.343 18.248
Zr 0.727 3.705 7.377
Zr -1.287 6.770 17.843
```

E_form (uncorrected) in eV/f.u.: 0.4
Symmetry: Cmc2_1 (36)
Relative energy among the computed polymorphs in eV/atom: 0.1283

Q: Which value of E_form (uncorrected) does entry 3 give?
A: -0.7 eV/f.u.